[1]
The following is a DFT calculation (PBE) of a relaxed structure of Tb2DyGa2Pt7.

Structure (POSCAR):
```
Tb2DyGa2Pt7
1.0
2.8818 -2.8533 0.0000
2.8818 2.8533 0.0000
-2.3734 0.0000 13.9129
Tb Dy Ga Pt
2 1 2 7
Direct
0.1326 0.1326 0.3560
0.8674 0.8674 0.6440
0.0000 0.0000 0.0000
0.3936 0.3936 0.7403
0.6064 0.6064 0.2597
0.0637 0.5637 0.1550
0.3498 0.3498 0.5651
0.4363 0.9363 0.8450
0.5000 0.5000 0.0000
0.5637 0.0637 0.1550
0.6502 0.6502 0.4349
0.9363 0.4363 0.8450
```

Calculated values
ΔE_f ... -0.995 eV per atom

[2]
The following is a DFT calculation (PBE) of a relaxed structure of GdBiCl.

Structure (POSCAR):
```
GdBiCl
1.0
4.9848 0.0000 0.0000
-2.4924 4.3170 0.0000
0.0000 0.0000 3.7966
Gd Bi Cl
1 1 1
Direct
0.0000 0.0000 0.0000
0.6667 0.3333 0.5000
0.3333 0.6667 0.0000
```

Calculated values
Formation energy (no corrections) ... -1.04 eV per atom

no.,theoretical density (g/cm3)
1,14.41
2,8.16